A PBEsol-optimized structure of Mg4ZrOs. Source: Alexandria, functional meta-GGA SCAN.

formation energy from the elements = 0.290 eV per atom
raw total energy = -20.122 eV per atom
magnetic moment = 0.000 μB/cell

Cell: 7.5654 7.5654 7.5654 Å, 90.00 90.00 90.00°
Space group F-43m (No. 216)
Unique sites:
Mg (0.1243, 0.1243, 0.3757) (multiplicity 16)
Zr (0.0000, 0.0000, 0.0000) (multiplicity 4)
Os (0.2500, 0.2500, 0.7500) (multiplicity 4)